No. 1
This record from Alexandria describes SrLa3Zn4 after structural relaxation. The functional is PBE-GGA.

```
SrLa3Zn4
1.0
5.3486 0.0000 0.0000
0.0000 7.6293 0.0000
0.0000 0.0000 10.6968
La Zn Sr
6 8 2
direct
0.4994 0.5000 0.2500 La
0.0000 0.0000 0.5000 La
0.5006 0.5000 0.7500 La
0.5009 0.0000 0.7500 La
0.4991 0.0000 0.2500 La
0.0000 0.0000 0.0000 La
0.5000 0.7570 0.5000 Zn
0.5000 0.2430 0.0000 Zn
0.5000 0.7570 0.0000 Zn
0.9986 0.7570 0.2500 Zn
0.5000 0.2430 0.5000 Zn
0.0014 0.2430 0.7500 Zn
0.0014 0.7570 0.7500 Zn
0.9986 0.2430 0.2500 Zn
0.0000 0.5000 0.0000 Sr
0.0000 0.5000 0.5000 Sr
```

***

No. 2
This record from Alexandria describes ZrTi2Zn2Cu2 after structural relaxation. The functional is PBE-GGA.

```
ZrTi2Zn2Cu2
1.0
-4.0556 -1.2675 -0.2699
3.3895 -3.7204 0.1210
-0.4347 0.1906 5.6376
Cu Ti Zn Zr
2 2 2 1
direct
0.1269 0.2537 0.4459 Cu
0.8731 0.7463 0.5541 Cu
0.3937 0.7874 0.3065 Ti
0.6063 0.2126 0.6935 Ti
0.6954 0.3907 0.1858 Zn
0.3046 0.6093 0.8142 Zn
0.0000 0.0000 0.0000 Zr
```

***

Values for formation energy, eV/atom, ordered as above
-0.271; -0.113
Values for DOS at the Fermi energy, states/eV/f.u., ordered as above
7.34; 6.94